Record 1
A plane-wave DFT calculation with PBE was carried out for a relaxed structure of Mo3Os2.

The structure belongs to space group P-3m1 (No. 164); the cell edges are 4.2757, 4.2757 and 5.3876 Å and the angles 90.00°, 90.00° and 120.00°. Symmetry generates all atoms from Mo at (0.0000, 0.0000, 0.0000), Mo at (0.3333, 0.6667, 0.3627) and Os at (0.3333, 0.6667, 0.8394).

The energy relative to the elements comes out at 11.41 kcal/mol of atoms. For the excess energy over the best structure of this formula in the dataset, the calculation gives 11.27 kcal/mol of atoms. The calculation puts the density of states at the Fermi level at 1.05 states/eV per atom.

=====

Record 2
A plane-wave DFT calculation with PBE was carried out for a relaxed structure of Te12P5Pb3.

The structure belongs to space group Ia-3d (No. 230); the cell edges are 17.3350, 17.3350 and 17.3350 Å and the angles 90.00°, 90.00° and 90.00°. Symmetry generates all atoms from Te at (0.0296, 0.0564, 0.6478), P at (0.0000, 0.0000, 0.0000), P at (0.0000, 0.2500, 0.3750) and Pb at (0.0000, 0.2500, 0.1250).

The value obtained for the uncorrected formation energy is 2.3 eV per formula unit. The calculation puts the density of states at the Fermi level at 0.32 states/eV per atom.

=====

Record 3
A plane-wave DFT calculation with PBE was carried out for a relaxed structure of TiGe2BiAu.

The structure belongs to space group P4/mmm (No. 123); the cell edges are 4.8715, 4.8715 and 5.7519 Å and the angles 90.00°, 90.00° and 90.00°. Symmetry generates all atoms from Ti at (0.0000, 0.0000, 0.0000), Ge at (0.0000, 0.5000, 0.5000), Bi at (0.5000, 0.5000, 0.0000) and Au at (0.5000, 0.5000, 0.5000).

The energy relative to the elements comes out at 19.20 kcal/mol of atoms. The calculation puts the density of states at the Fermi level at 1.41 states/eV per atom.

=====

Record 4
A plane-wave DFT calculation with PBE was carried out for a relaxed structure of MnTc2Ge2.

The structure belongs to space group P4/mbm (No. 127); the cell edges are 6.9680, 6.9680 and 3.0903 Å and the angles 90.00°, 90.00° and 90.00°. Symmetry generates all atoms from Mn at (0.0000, 0.0000, 0.0000), Tc at (0.1516, 0.3484, 0.5000) and Ge at (0.1453, 0.6453, 0.0000).

The energy relative to the elements comes out at 0.45 kcal/mol of atoms. The calculation puts the density of states at the Fermi level at 0.67 states/eV per atom.